(1)
LiHg3Pd7 | the Alexandria database | PBE | optimized geometry; DOS(E_F) = 0.415 states/eV per atom; energy relative to the elements = 7 meV/atom; M_tot = 0.0 Bohr magnetons per cell
1.0
4.708 -4.778 0.000
4.708 4.778 0.000
-2.188 0.000 4.451
Li Hg Pd
1 3 7
Direct
0.000 0.000 0.000 Li
0.283 0.717 0.500 Hg
0.500 0.500 0.000 Hg
0.717 0.283 0.500 Hg
0.000 0.000 0.500 Pd
0.084 0.578 0.833 Pd
0.278 0.278 0.430 Pd
0.422 0.916 0.167 Pd
0.578 0.084 0.833 Pd
0.722 0.722 0.570 Pd
0.916 0.422 0.167 Pd

***

(2)
Tb2DyPb2 | the Alexandria database | PBE | optimized geometry; DOS(E_F) = 0.671 states/eV per atom; energy relative to the elements = -450 meV/atom; M_tot = 0.0 Bohr magnetons per cell
1.0
2.503 -9.231 0.000
2.503 9.231 0.000
0.000 0.000 6.554
Tb Dy Pb
4 2 4
Direct
0.000 0.000 0.000 Tb
0.000 0.000 0.500 Tb
0.189 0.811 0.752 Tb
0.811 0.189 0.252 Tb
0.394 0.606 0.749 Dy
0.606 0.394 0.249 Dy
0.197 0.803 0.252 Pb
0.425 0.575 0.250 Pb
0.575 0.425 0.750 Pb
0.803 0.197 0.752 Pb